[1]
# Er6PdAu5 | the Alexandria database | PBE | optimized geometry
# Density of states at the Fermi level in states/eV/f.u.: 7.06
# Space group: C2/m, No. 12
data_Er6PdAu5
_space_group_name_H-M_alt 'P 1'
_space_group_IT_number 1
_space_group_name_Hall 'P 1'
_cell_length_a 8.704
_cell_length_b 8.704
_cell_length_c 5.002
_cell_angle_alpha 106.64
_cell_angle_beta 106.64
_cell_angle_gamma 119.90
loop_
_atom_site_label
_atom_site_type_symbol
_atom_site_fract_x
_atom_site_fract_y
_atom_site_fract_z
Er1 Er 0.083 0.414 0.748
Er2 Er 0.247 0.247 0.247
Er3 Er 0.414 0.083 0.748
Er4 Er 0.586 0.917 0.252
Er5 Er 0.753 0.753 0.753
Er6 Er 0.917 0.586 0.252
Pd1 Pd 0.000 0.000 0.500
Au1 Au 0.166 0.834 0.000
Au2 Au 0.333 0.667 0.500
Au3 Au 0.500 0.500 0.000
Au4 Au 0.667 0.333 0.500
Au5 Au 0.834 0.166 0.000

***

[2]
# LaCoCu2 | the Alexandria database | PBE | optimized geometry
# Density of states at the Fermi level in states/eV/f.u.: 1.59
# Space group: P4/mmm, No. 123
data_LaCoCu2
_space_group_name_H-M_alt 'P 1'
_space_group_IT_number 1
_space_group_name_Hall 'P 1'
_cell_length_a 3.825
_cell_length_b 3.825
_cell_length_c 4.576
_cell_angle_alpha 90.00
_cell_angle_beta 90.00
_cell_angle_gamma 90.00
loop_
_atom_site_label
_atom_site_type_symbol
_atom_site_fract_x
_atom_site_fract_y
_atom_site_fract_z
La1 La 0.000 0.000 0.000
Co1 Co 0.500 0.500 0.000
Cu1 Cu 0.000 0.500 0.500
Cu2 Cu 0.500 0.000 0.500

***

[3]
# B2C | the Alexandria database | PBE | optimized geometry
# Density of states at the Fermi level in states/eV/f.u.: 0.40
# E above lowest polymorph in meV/atom: 251
# Space group: C2, No. 5
data_B2C
_space_group_name_H-M_alt 'P 1'
_space_group_IT_number 1
_space_group_name_Hall 'P 1'
_cell_length_a 4.569
_cell_length_b 4.569
_cell_length_c 5.419
_cell_angle_alpha 109.28
_cell_angle_beta 109.28
_cell_angle_gamma 52.71
loop_
_atom_site_label
_atom_site_type_symbol
_atom_site_fract_x
_atom_site_fract_y
_atom_site_fract_z
B1 B 0.000 0.000 0.000
B2 B 0.121 0.625 0.423
B3 B 0.195 0.374 0.657
B4 B 0.375 0.879 0.577
B5 B 0.572 0.403 0.686
B6 B 0.597 0.428 0.314
B7 B 0.626 0.805 0.343
B8 B 0.908 0.092 0.500
C1 C 0.251 0.408 0.138
C2 C 0.359 0.007 0.082
C3 C 0.592 0.749 0.862
C4 C 0.993 0.641 0.918

***

[4]
# SrH2 | the Alexandria database | PBE | optimized geometry
# Space group: P6_3/mmc, No. 194
data_SrH2
_space_group_name_H-M_alt 'P 1'
_space_group_IT_number 1
_space_group_name_Hall 'P 1'
_cell_length_a 4.100
_cell_length_b 4.100
_cell_length_c 5.633
_cell_angle_alpha 90.00
_cell_angle_beta 90.00
_cell_angle_gamma 120.00
loop_
_atom_site_label
_atom_site_type_symbol
_atom_site_fract_x
_atom_site_fract_y
_atom_site_fract_z
Sr1 Sr 0.333 0.667 0.250
Sr2 Sr 0.667 0.333 0.750
H1 H 0.000 0.000 0.000
H2 H 0.000 0.000 0.500
H3 H 0.333 0.667 0.750
H4 H 0.667 0.333 0.250

***

[5]
# Sr2Pr4Pb3N2 | the Alexandria database | PBE | optimized geometry
# Density of states at the Fermi level in states/eV/f.u.: 10.11
# Space group: I4/mmm, No. 139
# Formation energy without anion corrections in eV/atom: -0.6974
data_Sr2Pr4Pb3N2
_space_group_name_H-M_alt 'P 1'
_space_group_IT_number 1
_space_group_name_Hall 'P 1'
_cell_length_a 13.785
_cell_length_b 13.785
_cell_length_c 13.785
_cell_angle_alpha 159.02
_cell_angle_beta 159.02
_cell_angle_gamma 29.84
loop_
_atom_site_label
_atom_site_type_symbol
_atom_site_fract_x
_atom_site_fract_y
_atom_site_fract_z
Sr1 Sr 0.196 0.196 0.000
Sr2 Sr 0.804 0.804 0.000
Pr1 Pr 0.085 0.585 0.500
Pr2 Pr 0.415 0.915 0.500
Pr3 Pr 0.585 0.085 0.500
Pr4 Pr 0.915 0.415 0.500
Pb1 Pb 0.328 0.328 0.000
Pb2 Pb 0.500 0.500 0.000
Pb3 Pb 0.672 0.672 0.000
N1 N 0.100 0.100 0.000
N2 N 0.900 0.900 0.000

***

[6]
# Er2GeAu | the Alexandria database | PBE | optimized geometry
# Density of states at the Fermi level in states/eV/f.u.: 2.12
# Space group: Amm2, No. 38
data_Er2GeAu
_space_group_name_H-M_alt 'P 1'
_space_group_IT_number 1
_space_group_name_Hall 'P 1'
_cell_length_a 4.275
_cell_length_b 5.777
_cell_length_c 5.777
_cell_angle_alpha 40.72
_cell_angle_beta 90.00
_cell_angle_gamma 90.00
loop_
_atom_site_label
_atom_site_type_symbol
_atom_site_fract_x
_atom_site_fract_y
_atom_site_fract_z
Er1 Er 0.000 0.000 0.000
Er2 Er 0.500 0.279 0.279
Ge1 Ge 0.000 0.726 0.726
Au1 Au 0.500 0.554 0.554

***

[7]
# TlP2RhO | the Alexandria database | PBE | optimized geometry
# Density of states at the Fermi level in states/eV/f.u.: 2.65
# E above lowest polymorph in meV/atom: 0
# Space group: P4/mmm, No. 123
# Formation energy without anion corrections in eV/atom: 0.2092
data_TlP2RhO
_space_group_name_H-M_alt 'P 1'
_space_group_IT_number 1
_space_group_name_Hall 'P 1'
_cell_length_a 4.946
_cell_length_b 4.946
_cell_length_c 3.735
_cell_angle_alpha 90.00
_cell_angle_beta 90.00
_cell_angle_gamma 90.00
loop_
_atom_site_label
_atom_site_type_symbol
_atom_site_fract_x
_atom_site_fract_y
_atom_site_fract_z
Tl1 Tl 0.000 0.000 0.000
P1 P 0.000 0.500 0.500
P2 P 0.500 0.000 0.500
Rh1 Rh 0.500 0.500 0.500
O1 O 0.500 0.500 0.000

***

[8]
# AsHPd2 | the Alexandria database | PBE | optimized geometry
# Density of states at the Fermi level in states/eV/f.u.: 0.99
# E above lowest polymorph in meV/atom: 32
# Space group: R3m, No. 160
data_AsHPd2
_space_group_name_H-M_alt 'P 1'
_space_group_IT_number 1
_space_group_name_Hall 'P 1'
_cell_length_a 6.445
_cell_length_b 6.445
_cell_length_c 6.445
_cell_angle_alpha 27.96
_cell_angle_beta 27.96
_cell_angle_gamma 27.96
loop_
_atom_site_label
_atom_site_type_symbol
_atom_site_fract_x
_atom_site_fract_y
_atom_site_fract_z
As1 As 0.000 0.000 0.000
H1 H 0.186 0.186 0.186
Pd1 Pd 0.556 0.556 0.556
Pd2 Pd 0.763 0.763 0.763

***

[9]
# IrPd2Br | the Alexandria database | PBE | optimized geometry
# Density of states at the Fermi level in states/eV/f.u.: 6.04
# E above lowest polymorph in meV/atom: 55
# Space group: Fm-3m, No. 225
# Formation energy without anion corrections in eV/atom: 0.7468
data_IrPd2Br
_space_group_name_H-M_alt 'P 1'
_space_group_IT_number 1
_space_group_name_Hall 'P 1'
_cell_length_a 4.558
_cell_length_b 4.558
_cell_length_c 4.558
_cell_angle_alpha 60.00
_cell_angle_beta 60.00
_cell_angle_gamma 60.00
loop_
_atom_site_label
_atom_site_type_symbol
_atom_site_fract_x
_atom_site_fract_y
_atom_site_fract_z
Ir1 Ir 0.000 0.000 0.000
Pd1 Pd 0.250 0.250 0.250
Pd2 Pd 0.750 0.750 0.750
Br1 Br 0.500 0.500 0.500

***

[10]
# PmPu2TlO8 | the Alexandria database | PBE | optimized geometry
# Density of states at the Fermi level in states/eV/f.u.: 12.10
# Space group: I-4m2, No. 119
# Formation energy without anion corrections in eV/atom: -2.4269
data_PmPu2TlO8
_space_group_name_H-M_alt 'P 1'
_space_group_IT_number 1
_space_group_name_Hall 'P 1'
_cell_length_a 6.599
_cell_length_b 6.599
_cell_length_c 6.599
_cell_angle_alpha 131.37
_cell_angle_beta 131.37
_cell_angle_gamma 71.22
loop_
_atom_site_label
_atom_site_type_symbol
_atom_site_fract_x
_atom_site_fract_y
_atom_site_fract_z
Pm1 Pm 0.000 0.000 0.000
Pu1 Pu 0.250 0.750 0.500
Pu2 Pu 0.500 0.500 0.000
Tl1 Tl 0.750 0.250 0.500
O1 O 0.145 0.126 0.521
O2 O 0.145 0.624 0.019
O3 O 0.376 0.395 0.521
O4 O 0.376 0.855 0.981
O5 O 0.605 0.126 0.981
O6 O 0.605 0.624 0.479
O7 O 0.874 0.395 0.019
O8 O 0.874 0.855 0.479

***

[11]
# CaSc2Au | the Alexandria database | PBE | optimized geometry
# Density of states at the Fermi level in states/eV/f.u.: 5.32
# E above lowest polymorph in meV/atom: 91
# Space group: Imm2, No. 44
data_CaSc2Au
_space_group_name_H-M_alt 'P 1'
_space_group_IT_number 1
_space_group_name_Hall 'P 1'
_cell_length_a 6.199
_cell_length_b 6.199
_cell_length_c 6.199
_cell_angle_alpha 145.80
_cell_angle_beta 132.08
_cell_angle_gamma 60.19
loop_
_atom_site_label
_atom_site_type_symbol
_atom_site_fract_x
_atom_site_fract_y
_atom_site_fract_z
Ca1 Ca 0.000 0.000 0.000
Sc1 Sc 0.417 0.417 0.000
Sc2 Sc 0.711 0.211 0.500
Au1 Au 0.226 0.726 0.500

***

| no. | final energy (eV/atom) | calculated volume (A^3/atom) |
| --- | --- | --- |
| 1 | -4.97 | 22.5 |
| 2 | -4.88 | 16.7 |
| 3 | -7.09 | 7.0 |
| 4 | -3.31 | 13.7 |
| 5 | -5.27 | 30.5 |
| 6 | -5.12 | 23.3 |
| 7 | -4.89 | 18.3 |
| 8 | -4.71 | 13.0 |
| 9 | -4.48 | 16.7 |
| 10 | -8.71 | 13.2 |
| 11 | -4.74 | 24.6 |